*i*
TmLu2Cd | GGA-PBE | optimized geometry

Density of states at the Fermi level   5.295 states/eV/f.u.
Density   9.7 g/cm³
Crystal system   cubic
M_tot   0.07 Bohr magnetons per cell

Lattice parameters (Å, degrees): 5.349 5.349 5.349 60.00 60.00 60.00
Fractional coordinates of all 4 atoms:
Tm: 0.000 0.000 0.000
Lu: 0.250 0.250 0.250
Lu: 0.750 0.750 0.750
Cd: 0.500 0.500 0.500

---

*ii*
TmLu2Cd | GGA-PBE | optimized geometry

Density of states at the Fermi level   6.126 states/eV/f.u.
Density   9.0 g/cm³
Crystal system   trigonal
M_tot   0.81 Bohr magnetons per cell

Lattice parameters (Å, degrees): 11.867 11.867 11.867 16.46 16.46 16.46
Fractional coordinates of all 4 atoms:
Tm: 0.000 0.000 0.000
Lu: 0.095 0.095 0.095
Lu: 0.905 0.905 0.905
Cd: 0.500 0.500 0.500

---

The structure with the most favorable energy is *i*; the runner-up is 0.172 eV/atom above it.

---

*i*
Lu2VCd | GGA-PBE | optimized geometry

Density of states at the Fermi level   2.837 states/eV/f.u.
Density   9.2 g/cm³
Crystal system   tetragonal
M_tot   3.12 Bohr magnetons per cell

Lattice parameters (Å, degrees): 3.552 3.552 7.372 90.00 90.00 90.00
Fractional coordinates of all 4 atoms:
Lu: 0.000 0.000 0.228
Lu: 0.000 0.000 0.772
V: 0.500 0.500 0.000
Cd: 0.500 0.500 0.500

---

*ii*
Lu2VCd | GGA-PBE | optimized geometry

Density of states at the Fermi level   2.434 states/eV/f.u.
Density   9.2 g/cm³
Crystal system   tetragonal
M_tot   3.61 Bohr magnetons per cell

Lattice parameters (Å, degrees): 5.003 5.003 3.717 90.00 90.00 90.00
Fractional coordinates of all 4 atoms:
Lu: 0.000 0.500 0.000
Lu: 0.500 0.000 0.000
V: 0.000 0.000 0.500
Cd: 0.500 0.500 0.500

---

The structure with the most favorable energy is *i*; the runner-up is 0.043 eV/atom above it.

---

*i*
YLu2Cd | GGA-PBE | optimized geometry

Density of states at the Fermi level   4.663 states/eV/f.u.
Density   8.3 g/cm³
Crystal system   tetragonal
M_tot   0.00 Bohr magnetons per cell

Lattice parameters (Å, degrees): 4.792 4.792 4.797 90.00 90.00 90.00
Fractional coordinates of all 4 atoms:
Y: 0.000 0.000 0.000
Lu: 0.000 0.500 0.500
Lu: 0.500 0.000 0.500
Cd: 0.500 0.500 0.000

---

*ii*
YLu2Cd | GGA-PBE | optimized geometry

Density of states at the Fermi level   4.394 states/eV/f.u.
Density   8.2 g/cm³
Crystal system   tetragonal
M_tot   0.00 Bohr magnetons per cell

Lattice parameters (Å, degrees): 3.534 3.534 8.981 90.00 90.00 90.00
Fractional coordinates of all 4 atoms:
Y: 0.000 0.000 0.000
Lu: 0.500 0.500 0.275
Lu: 0.500 0.500 0.725
Cd: 0.000 0.000 0.500

---

The structure with the most favorable energy is *ii*; the runner-up is 0.056 eV/atom above it.

---

*i*
LuZn2Cd | GGA-PBE | optimized geometry

Density of states at the Fermi level   2.365 states/eV/f.u.
Density   9.1 g/cm³
Crystal system   cubic
M_tot   0.00 Bohr magnetons per cell

Lattice parameters (Å, degrees): 4.768 4.768 4.768 60.00 60.00 60.00
Fractional coordinates of all 4 atoms:
Lu: 0.000 0.000 0.000
Zn: 0.250 0.250 0.250
Zn: 0.750 0.750 0.750
Cd: 0.500 0.500 0.500

---

*ii*
LuZn2Cd | GGA-PBE | optimized geometry

Density of states at the Fermi level   1.606 states/eV/f.u.
Density   8.7 g/cm³
Crystal system   tetragonal
M_tot   0.00 Bohr magnetons per cell

Lattice parameters (Å, degrees): 3.352 3.352 7.090 90.00 90.00 90.00
Fractional coordinates of all 4 atoms:
Lu: 0.000 0.000 0.000
Zn: 0.500 0.500 0.262
Zn: 0.500 0.500 0.738
Cd: 0.000 0.000 0.500

---

*iii*
LuZn2Cd | GGA-PBE | optimized geometry

Density of states at the Fermi level   3.460 states/eV/f.u.
Density   8.6 g/cm³
Crystal system   tetragonal
M_tot   0.00 Bohr magnetons per cell

Lattice parameters (Å, degrees): 4.472 4.472 4.019 90.00 90.00 90.00
Fractional coordinates of all 4 atoms:
Lu: 0.000 0.000 0.000
Zn: 0.000 0.500 0.500
Zn: 0.500 0.000 0.500
Cd: 0.500 0.500 0.000

---

The structure with the most favorable energy is *i*; the runner-up is 0.064 eV/atom above it.

---

*i*
Lu2ZnCd | GGA-PBE | optimized geometry

Density of states at the Fermi level   2.241 states/eV/f.u.
Density   9.5 g/cm³
Crystal system   cubic
M_tot   0.00 Bohr magnetons per cell

Lattice parameters (Å, degrees): 5.075 5.075 5.075 60.00 60.00 60.00
Fractional coordinates of all 4 atoms:
Lu: 0.250 0.250 0.250
Lu: 0.750 0.750 0.750
Zn: 0.000 0.000 0.000
Cd: 0.500 0.500 0.500

---

*ii*
Lu2ZnCd | GGA-PBE | optimized geometry

Density of states at the Fermi level   2.857 states/eV/f.u.
Density   9.5 g/cm³
Crystal system   tetragonal
M_tot   0.00 Bohr magnetons per cell

Lattice parameters (Å, degrees): 3.510 3.510 7.456 90.00 90.00 90.00
Fractional coordinates of all 4 atoms:
Lu: 0.000 0.000 0.231
Lu: 0.000 0.000 0.769
Zn: 0.500 0.500 0.000
Cd: 0.500 0.500 0.500

---

The structure with the most favorable energy is *ii*; the runner-up is 0.016 eV/atom above it.

---

*i*
MgCd6 | GGA-PBE | optimized geometry

Density of states at the Fermi level   2.184 states/eV/f.u.
Density   7.0 g/cm³
Crystal system   tetragonal
M_tot   0.00 Bohr magnetons per cell

Lattice parameters (Å, degrees): 4.942 4.942 6.755 90.00 90.00 90.00
Fractional coordinates of all 7 atoms:
Mg: 0.000 0.000 0.000
Cd: 0.000 0.000 0.500
Cd: 0.000 0.500 0.268
Cd: 0.000 0.500 0.732
Cd: 0.500 0.000 0.268
Cd: 0.500 0.000 0.732
Cd: 0.500 0.500 0.000

---

*ii*
MgCd6 | GGA-PBE | optimized geometry

Density of states at the Fermi level   2.232 states/eV/f.u.
Density   7.2 g/cm³
Crystal system   trigonal
M_tot   0.00 Bohr magnetons per cell

Lattice parameters (Å, degrees): 7.706 7.706 7.706 118.13 118.13 118.13
Fractional coordinates of all 7 atoms:
Mg: 0.000 0.000 0.000
Cd: 0.265 0.555 0.698
Cd: 0.302 0.735 0.445
Cd: 0.445 0.302 0.735
Cd: 0.555 0.698 0.265
Cd: 0.698 0.265 0.555
Cd: 0.735 0.445 0.302

---

The structure with the most favorable energy is *i*; the runner-up is 0.012 eV/atom above it.

---

*i*
Mg7Cd | GGA-PBE | optimized geometry

Density of states at the Fermi level   3.967 states/eV/f.u.
Density   2.6 g/cm³
Crystal system   cubic
M_tot   0.00 Bohr magnetons per cell

Lattice parameters (Å, degrees): 6.353 6.353 6.353 60.00 60.00 60.00
Fractional coordinates of all 8 atoms:
Mg: 0.000 0.000 0.000
Mg: 0.000 0.000 0.500
Mg: 0.000 0.500 0.000
Mg: 0.000 0.500 0.500
Mg: 0.500 0.000 0.000
Mg: 0.500 0.000 0.500
Mg: 0.500 0.500 0.000
Cd: 0.500 0.500 0.500

---

*ii*
Mg7Cd | GGA-PBE | optimized geometry

Density of states at the Fermi level   3.235 states/eV/f.u.
Density   2.6 g/cm³
Crystal system   hexagonal
M_tot   0.00 Bohr magnetons per cell

Lattice parameters (Å, degrees): 6.280 6.280 5.266 90.00 90.00 120.00
Fractional coordinates of all 8 atoms:
Mg: 0.000 0.000 0.000
Mg: 0.000 0.500 0.000
Mg: 0.332 0.166 0.500
Mg: 0.500 0.000 0.000
Mg: 0.500 0.500 0.000
Mg: 0.834 0.166 0.500
Mg: 0.834 0.668 0.500
Cd: 0.333 0.667 0.500

---

The structure with the most favorable energy is *ii*; the runner-up is 0.013 eV/atom above it.

---

*i*
Mg4Cd | GGA-PBE | optimized geometry

Density of states at the Fermi level   1.578 states/eV/f.u.
Density   3.1 g/cm³
Crystal system   triclinic
M_tot   0.00 Bohr magnetons per cell

Lattice parameters (Å, degrees): 3.194 4.308 8.546 104.37 99.72 90.11
Fractional coordinates of all 5 atoms:
Mg: 0.105 0.098 0.196
Mg: 0.297 0.300 0.600
Mg: 0.703 0.700 0.400
Mg: 0.895 0.902 0.804
Cd: 0.500 0.500 0.000

---

*ii*
Mg4Cd | GGA-PBE | optimized geometry

Density of states at the Fermi level   2.125 states/eV/f.u.
Density   2.8 g/cm³
Crystal system   tetragonal
M_tot   0.00 Bohr magnetons per cell

Lattice parameters (Å, degrees): 8.222 8.222 8.222 151.53 151.53 40.70
Fractional coordinates of all 5 atoms:
Mg: 0.095 0.095 0.000
Mg: 0.250 0.750 0.500
Mg: 0.750 0.250 0.500
Mg: 0.905 0.905 0.000
Cd: 0.500 0.500 0.000

---

*iii*
Mg4Cd | GGA-PBE | optimized geometry

Density of states at the Fermi level   3.076 states/eV/f.u.
Density   2.4 g/cm³
Crystal system   cubic
M_tot   0.00 Bohr magnetons per cell

Lattice parameters (Å, degrees): 5.268 5.268 5.268 90.00 90.00 90.00
Fractional coordinates of all 5 atoms:
Mg: 0.000 0.000 0.000
Mg: 0.000 0.500 0.500
Mg: 0.500 0.000 0.500
Mg: 0.500 0.500 0.000
Cd: 0.500 0.500 0.500

---

The structure with the most favorable energy is *i*; the runner-up is 0.220 eV/atom above it.